BaZnOs: optimized geometry, PBEsol.

a = 7.076 Å, b = 7.076 Å, c = 7.076 Å
α = 90.00°, β = 90.00°, γ = 90.00°
Fractional coordinates of all 12 atoms:
Ba 0.000 0.000 0.000
Ba 0.000 0.500 0.500
Ba 0.500 0.000 0.500
Ba 0.500 0.500 0.000
Zn 0.250 0.250 0.250
Zn 0.250 0.750 0.750
Zn 0.750 0.250 0.750
Zn 0.750 0.750 0.250
Os 0.250 0.250 0.750
Os 0.250 0.750 0.250
Os 0.750 0.250 0.250
Os 0.750 0.750 0.750

Calculated formation energy, eV/atom: 1.837
Fermi-level density of states, states/eV per atom: 2.14
Magnetic moment, μB/atom: 0.663